# 1
Compound: Th3Ga3Tc2
Source: Alexandria via LeMat-Bulk
Functional: PBE
Structure: optimized geometry

Summary:
For the uncorrected energy, the calculation gives -6.88 eV/atom. For the energy of formation from the pure elements, the calculation gives -0.37 eV/atom.

```
data_Th3Ga3Tc2
_chemical_formula_sum 'Th12 Ga12 Tc8'
_symmetry_space_group_name_H-M 'P n m a'
_symmetry_Int_Tables_number 62
_symmetry_space_group_name_Hall '-P 2ac 2n'
_cell_length_a 7.653
_cell_length_b 15.547
_cell_length_c 6.009
_cell_angle_alpha 90.00
_cell_angle_beta 90.00
_cell_angle_gamma 90.00
loop_
_atom_site_label
_atom_site_type_symbol
_atom_site_fract_x
_atom_site_fract_y
_atom_site_fract_z
Th1 Th 0.028 0.106 0.109
Th2 Th 0.150 0.250 0.646
Ga1 Ga 0.157 0.035 0.585
Ga2 Ga 0.188 0.750 0.638
Tc1 Tc 0.143 0.613 0.366
```

---

# 2
Compound: Th3Ga2Tc3
Source: Alexandria via LeMat-Bulk
Functional: PBE
Structure: optimized geometry

Summary:
For the uncorrected energy, the calculation gives -7.70 eV/atom. For the energy of formation from the pure elements, the calculation gives -0.27 eV/atom.

```
data_Th3Ga2Tc3
_chemical_formula_sum 'Th12 Ga8 Tc12'
_symmetry_space_group_name_H-M 'P n m a'
_symmetry_Int_Tables_number 62
_symmetry_space_group_name_Hall '-P 2ac 2n'
_cell_length_a 7.488
_cell_length_b 15.526
_cell_length_c 5.924
_cell_angle_alpha 90.00
_cell_angle_beta 90.00
_cell_angle_gamma 90.00
loop_
_atom_site_label
_atom_site_type_symbol
_atom_site_fract_x
_atom_site_fract_y
_atom_site_fract_z
Th1 Th 0.051 0.104 0.149
Th2 Th 0.205 0.250 0.593
Ga1 Ga 0.092 0.607 0.361
Tc1 Tc 0.130 0.750 0.620
Tc2 Tc 0.207 0.026 0.586
```

---

# 3
Compound: ThGa2Tc
Source: Alexandria via LeMat-Bulk
Functional: PBE
Structure: optimized geometry

Summary:
For the uncorrected energy, the calculation gives -6.41 eV/atom. For the energy of formation from the pure elements, the calculation gives -0.45 eV/atom.

```
data_ThGa2Tc
_chemical_formula_sum 'Th2 Ga4 Tc2'
_symmetry_space_group_name_H-M 'P 1 21/m 1'
_symmetry_Int_Tables_number 11
_symmetry_space_group_name_Hall '-P 2yb'
_cell_length_a 4.553
_cell_length_b 6.785
_cell_length_c 5.317
_cell_angle_alpha 90.00
_cell_angle_beta 106.98
_cell_angle_gamma 90.00
loop_
_atom_site_label
_atom_site_type_symbol
_atom_site_fract_x
_atom_site_fract_y
_atom_site_fract_z
Th1 Th 0.037 0.250 0.146
Ga1 Ga 0.411 0.056 0.719
Tc1 Tc 0.126 0.750 0.395
```

---

# 4
Compound: ThGa3Tc
Source: Alexandria via LeMat-Bulk
Functional: PBE
Structure: optimized geometry

Summary:
For the uncorrected energy, the calculation gives -5.72 eV/atom. For the energy of formation from the pure elements, the calculation gives -0.34 eV/atom.

```
data_ThGa3Tc
_chemical_formula_sum 'Th2 Ga6 Tc2'
_symmetry_space_group_name_H-M 'P 1 21/m 1'
_symmetry_Int_Tables_number 11
_symmetry_space_group_name_Hall '-P 2yb'
_cell_length_a 4.865
_cell_length_b 6.163
_cell_length_c 6.508
_cell_angle_alpha 90.00
_cell_angle_beta 90.77
_cell_angle_gamma 90.00
loop_
_atom_site_label
_atom_site_type_symbol
_atom_site_fract_x
_atom_site_fract_y
_atom_site_fract_z
Th1 Th 0.181 0.250 0.309
Ga1 Ga 0.316 0.750 0.430
Ga2 Ga 0.327 0.041 0.833
Tc1 Tc 0.129 0.750 0.076
```

---

# 5
Compound: Th4Ga12Tc
Source: Alexandria via LeMat-Bulk
Functional: PBE
Structure: optimized geometry

Summary:
For the uncorrected energy, the calculation gives -5.01 eV/atom. For the energy of formation from the pure elements, the calculation gives -0.52 eV/atom.

```
data_Th4Ga12Tc
_chemical_formula_sum 'Th8 Ga24 Tc2'
_symmetry_space_group_name_H-M 'I m -3 m'
_symmetry_Int_Tables_number 229
_symmetry_space_group_name_Hall '-I 4 2 3'
_cell_length_a 8.849
_cell_length_b 8.849
_cell_length_c 8.849
_cell_angle_alpha 90.00
_cell_angle_beta 90.00
_cell_angle_gamma 90.00
loop_
_atom_site_label
_atom_site_type_symbol
_atom_site_fract_x
_atom_site_fract_y
_atom_site_fract_z
Th1 Th 0.250 0.250 0.250
Ga1 Ga 0.000 0.000 0.292
Ga2 Ga 0.000 0.250 0.500
Tc1 Tc 0.000 0.000 0.000
```

---

# 6
Compound: ThGa8Tc2
Source: Alexandria via LeMat-Bulk
Functional: PBE
Structure: optimized geometry

Summary:
For the uncorrected energy, the calculation gives -4.94 eV/atom. For the energy of formation from the pure elements, the calculation gives -0.18 eV/atom.

```
data_ThGa8Tc2
_chemical_formula_sum 'Th2 Ga16 Tc4'
_symmetry_space_group_name_H-M 'C 1 2/m 1'
_symmetry_Int_Tables_number 12
_symmetry_space_group_name_Hall '-C 2y'
_cell_length_a 8.903
_cell_length_b 10.246
_cell_length_c 4.832
_cell_angle_alpha 90.00
_cell_angle_beta 103.74
_cell_angle_gamma 90.00
loop_
_atom_site_label
_atom_site_type_symbol
_atom_site_fract_x
_atom_site_fract_y
_atom_site_fract_z
Th1 Th 0.000 0.000 0.000
Ga1 Ga 0.000 0.305 0.000
Ga2 Ga 0.123 0.500 0.739
Ga3 Ga 0.230 0.131 0.610
Tc1 Tc 0.000 0.277 0.500
```

---

# 7
Compound: Th3Ga4Tc2
Source: Alexandria via LeMat-Bulk
Functional: PBE
Structure: optimized geometry

Summary:
For the uncorrected energy, the calculation gives -6.53 eV/atom. For the energy of formation from the pure elements, the calculation gives -0.41 eV/atom.

```
data_Th3Ga4Tc2
_chemical_formula_sum 'Th6 Ga8 Tc4'
_symmetry_space_group_name_H-M 'C 1 2/m 1'
_symmetry_Int_Tables_number 12
_symmetry_space_group_name_Hall '-C 2y'
_cell_length_a 10.407
_cell_length_b 4.636
_cell_length_c 8.398
_cell_angle_alpha 90.00
_cell_angle_beta 104.53
_cell_angle_gamma 90.00
loop_
_atom_site_label
_atom_site_type_symbol
_atom_site_fract_x
_atom_site_fract_y
_atom_site_fract_z
Th1 Th 0.000 0.000 0.000
Th2 Th 0.127 0.500 0.694
Ga1 Ga 0.094 0.000 0.409
Ga2 Ga 0.213 0.500 0.076
Tc1 Tc 0.179 0.500 0.363
```

---

# 8
Compound: Th3GaTc
Source: Alexandria via LeMat-Bulk
Functional: PBE
Structure: optimized geometry

Summary:
For the uncorrected energy, the calculation gives -7.37 eV/atom. For the energy of formation from the pure elements, the calculation gives -0.24 eV/atom.

```
data_Th3GaTc
_chemical_formula_sum 'Th6 Ga2 Tc2'
_symmetry_space_group_name_H-M 'P m m n'
_symmetry_Int_Tables_number 59
_cell_length_a 4.346
_cell_length_b 9.533
_cell_length_c 6.325
_cell_angle_alpha 90.00
_cell_angle_beta 90.00
_cell_angle_gamma 90.00
loop_
_symmetry_equiv_pos_as_xyz
'x,y,z'
'-x,-y,-z'
'-x+1/2,-y+1/2,z'
'x+1/2,y+1/2,-z'
'x+1/2,-y,-z'
'-x+1/2,y,z'
'-x,y+1/2,-z'
'x,-y+1/2,z'
loop_
_atom_site_label
_atom_site_type_symbol
_atom_site_fract_x
_atom_site_fract_y
_atom_site_fract_z
Th1 Th 0.250 0.050 0.246
Th2 Th 0.250 0.250 0.770
Ga1 Ga 0.250 0.750 0.566
Tc1 Tc 0.250 0.750 0.989
```

---

# 9
Compound: ThGa2Tc
Source: Alexandria via LeMat-Bulk
Functional: PBE
Structure: optimized geometry

Summary:
For the uncorrected energy, the calculation gives -6.25 eV/atom. For the energy of formation from the pure elements, the calculation gives -0.29 eV/atom.

```
data_ThGa2Tc
_chemical_formula_sum 'Th3 Ga6 Tc3'
_symmetry_space_group_name_H-M 'R -3 m'
_symmetry_Int_Tables_number 166
_symmetry_space_group_name_Hall '-R 3 2"'
_cell_length_a 4.3205
_cell_length_b 4.3205
_cell_length_c 15.3186
_cell_angle_alpha 90.00
_cell_angle_beta 90.00
_cell_angle_gamma 120.00
loop_
_atom_site_label
_atom_site_type_symbol
_atom_site_fract_x
_atom_site_fract_y
_atom_site_fract_z
Th1 Th 0.0000 0.0000 0.0000
Ga1 Ga 0.0000 0.0000 0.2131
Tc1 Tc 0.0000 0.0000 0.5000
```

---

# 10
Compound: ThGa5Tc2
Source: Alexandria via LeMat-Bulk
Functional: PBE
Structure: optimized geometry

Summary:
For the uncorrected energy, the calculation gives -5.67 eV/atom. For the energy of formation from the pure elements, the calculation gives -0.26 eV/atom.

```
data_ThGa5Tc2
_chemical_formula_sum 'Th2 Ga10 Tc4'
_symmetry_space_group_name_H-M 'I m m m'
_symmetry_Int_Tables_number 71
_symmetry_space_group_name_Hall '-I 2 2'
_cell_length_a 3.483
_cell_length_b 8.657
_cell_length_c 9.501
_cell_angle_alpha 90.00
_cell_angle_beta 90.00
_cell_angle_gamma 90.00
loop_
_atom_site_label
_atom_site_type_symbol
_atom_site_fract_x
_atom_site_fract_y
_atom_site_fract_z
Th1 Th 0.000 0.000 0.000
Ga1 Ga 0.000 0.202 0.350
Ga2 Ga 0.000 0.500 0.000
Tc1 Tc 0.000 0.500 0.265
```